1.
Computed, not measured: a relaxed structure of AsWSCl2 at the PBE-GGA level of DFT.

The calculated density comes out at 5.4 Mg/m³. The total energy comes out at -0.345 Ry/atom. The uncorrected formation energy comes out at 394 meV per atom. Its excess energy over the best structure of this formula in the dataset is 0.0 kJ/mol of formula units.

Cell and atoms, written as POSCAR:
```
AsWSCl2
1.0
-0.264 3.323 -3.536
-2.523 -3.119 -2.743
-4.002 1.629 1.830
As S W Cl
1 1 1 2
direct
0.500 0.500 0.500
0.000 0.000 0.500
0.000 0.000 0.000
0.000 0.500 0.000
0.500 0.000 0.000
```



2.
Computed, not measured: a relaxed structure of AsWSCl2 at the PBE-GGA level of DFT.

The calculated density comes out at 5.0 Mg/m³. The total energy comes out at -0.292 Ry/atom. The uncorrected formation energy comes out at 1111 meV per atom. Its excess energy over the best structure of this formula in the dataset is 345.7 kJ/mol of formula units.

Cell and atoms, written as POSCAR:
```
AsWSCl2
1.0
4.789 0.000 0.000
0.000 4.789 0.000
0.000 0.000 5.234
As S W Cl
1 1 1 2
direct
0.000 0.000 0.000
0.000 0.000 0.500
0.500 0.500 0.500
0.000 0.500 0.000
0.500 0.000 0.000
```



3.
Computed, not measured: a relaxed structure of ZrAsS2Cl at the PBE-GGA level of DFT.

The calculated density comes out at 4.0 Mg/m³. The total energy comes out at -0.329 Ry/atom. The uncorrected formation energy comes out at 183 meV per atom. Its excess energy over the best structure of this formula in the dataset is 259.8 kJ/mol of formula units.

Cell and atoms, written as POSCAR:
```
ZrAsS2Cl
1.0
4.833 0.000 0.000
0.000 4.833 0.000
0.000 0.000 4.698
As S Zr Cl
1 2 1 1
direct
0.000 0.000 0.000
0.000 0.500 0.000
0.500 0.000 0.000
0.500 0.500 0.500
0.000 0.000 0.500
```



4.
Computed, not measured: a relaxed structure of ZrAsS2Cl at the PBE-GGA level of DFT.

The calculated density comes out at 3.5 Mg/m³. The total energy comes out at -0.369 Ry/atom. The uncorrected formation energy comes out at -356 meV per atom. Its excess energy over the best structure of this formula in the dataset is 0.0 kJ/mol of formula units.

Cell and atoms, written as POSCAR:
```
ZrAsS2Cl
1.0
-2.293 1.833 4.086
-2.100 -4.495 0.838
3.953 -1.322 2.811
As S Zr Cl
1 2 1 1
direct
0.500 0.500 0.500
0.000 0.500 0.000
0.500 0.000 0.000
0.000 0.000 0.000
0.000 0.000 0.500
```



5.
Computed, not measured: a relaxed structure of ZrAsSCl2 at the PBE-GGA level of DFT.

The calculated density comes out at 3.7 Mg/m³. The total energy comes out at -0.292 Ry/atom. The uncorrected formation energy comes out at 237 meV per atom. Its excess energy over the best structure of this formula in the dataset is 370.1 kJ/mol of formula units.

Cell and atoms, written as POSCAR:
```
ZrAsSCl2
1.0
4.868 0.000 0.000
0.000 4.868 0.000
0.000 0.000 5.075
As S Zr Cl
1 1 1 2
direct
0.000 0.000 0.000
0.000 0.000 0.500
0.500 0.500 0.500
0.000 0.500 0.000
0.500 0.000 0.000
```



6.
Computed, not measured: a relaxed structure of ZrAsSCl2 at the PBE-GGA level of DFT.

The calculated density comes out at 3.4 Mg/m³. The total energy comes out at -0.348 Ry/atom. The uncorrected formation energy comes out at -531 meV per atom. Its excess energy over the best structure of this formula in the dataset is 0.0 kJ/mol of formula units.

Cell and atoms, written as POSCAR:
```
ZrAsSCl2
1.0
-3.521 3.725 0.032
-0.640 -0.649 5.044
3.580 3.376 0.889
As S Zr Cl
1 1 1 2
direct
0.500 0.500 0.500
0.000 0.000 0.500
0.000 0.000 0.000
0.000 0.500 0.000
0.500 0.000 0.000
```